(1)
An optimized crystal structure of Hf2AuCl. Source: Alexandria via LeMat-Bulk, functional PBE.

Lattice parameters (Å, degrees): 6.7544 6.7544 6.7544 90.00 90.00 90.00
Space group Fm-3m (No. 225)
Unique sites:
Hf1 0.2500 0.2500 0.2500
Au1 0.0000 0.0000 0.0000
Cl1 0.0000 0.0000 0.5000

The density of states at the Fermi level comes out at 7.7 states/eV per cell. As for the total magnetization: 0.00 μB/atom. For the polymorph energy (0 for the lowest one), the calculation gives 0.000 eV per atom. Its total DFT energy (no corrections) is -26.28 eV per formula unit.

---

(2)
An optimized crystal structure of HfAuCl2. Source: Alexandria via LeMat-Bulk, functional PBE.

Lattice parameters (Å, degrees): 3.1409 3.1409 33.8849 90.00 90.00 120.00
Space group R-3m (No. 166, hexagonal axes)
Unique sites:
Hf1 0.0000 0.0000 0.0000
Au1 0.0000 0.0000 0.5000
Cl1 0.0000 0.0000 0.3878

The density of states at the Fermi level comes out at 2.9 states/eV per cell. As for the total magnetization: 0.00 μB/atom. For the polymorph energy (0 for the lowest one), the calculation gives 0.000 eV per atom. Its total DFT energy (no corrections) is -20.21 eV per formula unit.

---

(3)
An optimized crystal structure of HfAu3Cl. Source: Alexandria via LeMat-Bulk, functional PBE.

Lattice parameters (Å, degrees): 5.2731 5.2731 5.2731 90.00 90.00 90.00
Space group Pm-3m (No. 221)
Unique sites:
Hf1 0.0000 0.0000 0.0000
Au1 0.0000 0.0000 0.5000
Cl1 0.5000 0.5000 0.5000

The density of states at the Fermi level comes out at 2.3 states/eV per cell. As for the total magnetization: 0.00 μB/atom. For the polymorph energy (0 for the lowest one), the calculation gives 0.000 eV per atom. Its total DFT energy (no corrections) is -18.51 eV per formula unit.

---

(4)
An optimized crystal structure of HfAuCl. Source: Alexandria via LeMat-Bulk, functional PBE.

Lattice parameters (Å, degrees): 3.1988 4.6391 10.2583 90.00 98.87 90.00
Space group P2_1/m (No. 11)
Unique sites:
Hf1 0.0789 0.2500 0.1601
Au1 0.4590 0.2500 0.9168
Cl1 0.3252 0.7500 0.6464

The density of states at the Fermi level comes out at 4.5 states/eV per cell. As for the total magnetization: 0.00 μB/atom. For the polymorph energy (0 for the lowest one), the calculation gives 0.063 eV per atom. Its total DFT energy (no corrections) is -17.77 eV per formula unit.

---

Results for energy relative to the elements, uncorrected: -312 -820 624 -897 (in meV/atom, following the order of the records).